A crystal of Nb3CdF relaxed with PBEsol. Source: the Alexandria database, functional SCAN.

## Properties
Spin magnetization in μB/f.u.: 0.00
E_form (uncorrected) in eV per atom: -0.11
Volume in Å³/f.u.: 80.6
Space group: No. 221
Energy above the most stable polymorph in this dataset in eV/atom: 0.000

a b c (Å): 4.3196 4.3196 4.3196
angles (deg): 90.00 90.00 90.00
Fractional coordinates of all 5 atoms:
Cd (0.5000, 0.5000, 0.5000)
Nb (0.0000, 0.5000, 0.0000)
Nb (0.0000, 0.0000, 0.5000)
Nb (0.5000, 0.0000, 0.0000)
F (0.0000, 0.0000, 0.0000)